1.
The following is a PBE calculation of a geometry-optimized Na2GaGe3 structure, from Alexandria via LeMat-Bulk.

Computed properties:
Theoretical density (g/cm3): 3.77
E above lowest polymorph (eV per atom): 0.060
Symmetry: No. 69
E_form (kJ/mol of atoms): -3.92
V (A^3/atom): 24.46

abc: 6.337 6.337 8.473
angles: 108.92 108.92 97.64
Fractional positions:
Ge  0.334  0.334  0.166
Ga  0.667  0.667  0.334
Na  0.250  0.750  0.500
Ge  0.168  0.168  0.834
Na  0.751  0.249  0.000
Ga  0.333  0.333  0.666
Ge  0.832  0.832  0.166
Ge  0.169  0.169  0.338
Ge  0.831  0.831  0.662
Ge  0.666  0.666  0.834
Na  0.750  0.250  0.500
Na  0.249  0.751  0.000

---

2.
The following is a PBE calculation of a geometry-optimized Ag2AsIr structure, from Alexandria via LeMat-Bulk.

Computed properties:
Theoretical density (g/cm3): 11.91
Symmetry: No. 216
E_form (kJ/mol of atoms): 33.14
V (A^3/atom): 16.83

abc: 4.566 4.566 4.566
angles: 60.00 60.00 60.00
Fractional positions:
As  0.500  0.500  0.500
Ir  0.750  0.750  0.750
Ag  0.250  0.250  0.250
Ag  0.000  0.000  0.000

---

3.
The following is a PBE calculation of a geometry-optimized CaTb5Cd6 structure, from Alexandria via LeMat-Bulk.

Computed properties:
Theoretical density (g/cm3): 7.81
Symmetry: No. 65
E_form (kJ/mol of atoms): -31.72
V (A^3/atom): 26.75

abc: 5.338 7.516 8.435
angles: 90.00 71.55 90.00
Fractional positions:
Cd  0.832  0.252  0.337
Cd  0.500  0.745  0.000
Tb  0.334  0.500  0.332
Tb  0.666  0.500  0.668
Tb  0.666  0.000  0.668
Cd  0.168  0.748  0.663
Ca  0.000  0.000  0.000
Tb  0.334  0.000  0.332
Cd  0.832  0.748  0.337
Cd  0.500  0.255  0.000
Tb  0.000  0.500  0.000
Cd  0.168  0.252  0.663

---

4.
The following is a PBE calculation of a geometry-optimized La2Pm4Pr5 structure, from Alexandria via LeMat-Bulk.

Computed properties:
Theoretical density (g/cm3): 6.38
E above lowest polymorph (eV per atom): 0.116
Symmetry: No. 71
E_form (kJ/mol of atoms): 17.23
V (A^3/atom): 36.98

abc: 3.593 9.470 12.983
angles: 111.39 97.95 90.00
Fractional positions:
Pr  0.856  0.662  0.713
Pr  0.144  0.949  0.287
La  0.269  0.269  0.537
Pr  0.856  0.051  0.713
Pr  0.144  0.338  0.287
Pm  0.403  0.403  0.806
Pm  0.000  0.694  0.000
Pm  0.597  0.597  0.194
Pr  0.500  0.000  0.000
Pm  0.000  0.306  0.000
La  0.731  0.731  0.463

---

5.
The following is a PBE calculation of a geometry-optimized Nd4SmS5 structure, from Alexandria via LeMat-Bulk.

Computed properties:
Theoretical density (g/cm3): 6.24
Symmetry: No. 139
ΔE_f (raw) (eV per atom): -2.0219
V (A^3/atom): 23.62

abc: 4.054 4.054 14.656
angles: 97.95 97.95 90.00
Fractional positions:
Nd  0.601  0.601  0.201
S  0.500  0.500  0.000
Nd  0.399  0.399  0.799
S  0.902  0.902  0.803
Nd  0.802  0.802  0.603
Nd  0.198  0.198  0.397
Sm  0.000  0.000  0.000
S  0.299  0.299  0.598
S  0.701  0.701  0.402
S  0.098  0.098  0.197

---

6.
The following is a PBE calculation of a geometry-optimized ReNiRu2 structure, from Alexandria via LeMat-Bulk.

Computed properties:
Theoretical density (g/cm3): 13.44
E above lowest polymorph (eV per atom): 0.324
Symmetry: No. 47
E_form (kJ/mol of atoms): 37.06
V (A^3/atom): 13.80

abc: 2.745 4.494 4.476
angles: 90.00 90.00 90.00
Fractional positions:
Ru  0.000  0.000  0.000
Ni  0.500  0.000  0.500
Re  0.000  0.500  0.500
Ru  0.500  0.500  0.000

---

7.
The following is a PBE calculation of a geometry-optimized HgGe2PdO6 structure, from Alexandria via LeMat-Bulk.

Computed properties:
Theoretical density (g/cm3): 6.26
Symmetry: No. 15
ΔE_f (raw) (eV per atom): -0.9636
V (A^3/atom): 14.55

abc: 5.836 7.339 7.339
angles: 84.53 74.22 74.22
Fractional positions:
O  0.561  0.625  0.666
O  0.061  0.666  0.625
Hg  0.250  0.898  0.102
Ge  0.289  0.790  0.621
Pd  0.250  0.273  0.727
O  0.896  0.384  0.864
Ge  0.211  0.379  0.210
O  0.163  0.979  0.782
O  0.337  0.218  0.021
O  0.604  0.136  0.616
O  0.837  0.021  0.218
O  0.396  0.864  0.384
Ge  0.711  0.210  0.379
Pd  0.750  0.727  0.273
O  0.939  0.334  0.375
Ge  0.789  0.621  0.790
Hg  0.750  0.102  0.898
O  0.439  0.375  0.334
O  0.663  0.782  0.979
O  0.104  0.616  0.136

---

8.
The following is a PBE calculation of a geometry-optimized Ho3TiIn3Se8 structure, from Alexandria via LeMat-Bulk.

Computed properties:
Theoretical density (g/cm3): 5.86
Symmetry: No. 166
ΔE_f (raw) (eV per atom): -1.2426
V (A^3/atom): 28.68

abc: 8.033 8.033 8.988
angles: 116.55 90.00 120.00
Fractional positions:
In  0.000  0.000  0.000
Se  0.759  0.980  0.700
In  0.500  0.500  0.000
Se  0.263  0.525  0.288
Se  0.779  0.020  0.300
Se  0.779  0.558  0.300
Se  0.737  0.475  0.712
Se  0.241  0.020  0.300
Ho  0.500  0.000  0.500
Se  0.221  0.980  0.700
Ho  0.500  0.500  0.500
Ho  0.000  0.500  0.500
Ti  0.000  0.000  0.500
In  0.000  0.500  0.000
Se  0.221  0.442  0.700

---

9.
The following is a PBE calculation of a geometry-optimized LiMnI2 structure, from Alexandria via LeMat-Bulk.

Computed properties:
Theoretical density (g/cm3): 6.09
E above lowest polymorph (eV per atom): 0.837
Symmetry: No. 225
ΔE_f (raw) (eV per atom): 0.4784
V (A^3/atom): 21.51

abc: 4.956 4.956 4.956
angles: 60.00 60.00 60.00
Fractional positions:
I  0.250  0.250  0.250
Mn  0.500  0.500  0.500
I  0.750  0.750  0.750
Li  0.000  0.000  0.000

---

10.
The following is a PBE calculation of a geometry-optimized BeTcRh2W structure, from Alexandria via LeMat-Bulk.

Computed properties:
Theoretical density (g/cm3): 8.74
Symmetry: No. 123
E_form (kJ/mol of atoms): 151.89
V (A^3/atom): 18.87

abc: 4.658 4.348 4.658
angles: 90.00 90.00 90.00
Site moments in Bohr magnetons follow the coordinates.
Fractional positions:
Tc  0.500  0.500  0.500  3.12
Rh  0.500  0.000  0.000  0.18
Rh  0.000  0.000  0.500  0.08
W  0.000  0.000  0.000  -0.12
Be  0.000  0.500  0.000  -0.02

---

11.
The following is a PBE calculation of a geometry-optimized AgBiPO2 structure, from Alexandria via LeMat-Bulk.

Computed properties:
Theoretical density (g/cm3): 7.60
E above lowest polymorph (eV per atom): 0.182
Symmetry: No. 123
ΔE_f (raw) (eV per atom): 0.3207
V (A^3/atom): 16.60

abc: 4.151 4.151 4.818
angles: 90.00 90.00 90.00
Fractional positions:
O  0.500  0.000  0.000
O  0.000  0.500  0.000
Bi  0.500  0.500  0.500
Ag  0.000  0.000  0.000
P  0.000  0.000  0.500

---

12.
The following is a PBE calculation of a geometry-optimized K2RbClO structure, from Alexandria via LeMat-Bulk.

Computed properties:
Theoretical density (g/cm3): 2.36
E above lowest polymorph (eV per atom): 0.000
Symmetry: No. 123
ΔE_f (raw) (eV per atom): -1.3531
V (A^3/atom): 30.23

abc: 5.225 5.225 5.537
angles: 90.00 90.00 90.00
Fractional positions:
O  0.000  0.000  0.000
K  0.500  0.000  0.000
Rb  0.000  0.000  0.500
Cl  0.500  0.500  0.500
K  0.000  0.500  0.000